DFT (PBE) results for an optimized crystal structure of CdAg7F12.

Summary:
As for the space-group type: Im-3, No. 204. The total moment comes out at 0.000 μB per atom. The value obtained for the formation energy without anion corrections is -23.2 eV/f.u.

Cell and atoms, written as POSCAR:
```
CdAg7F12
1.0
6.959 0.000 -2.460
-3.480 6.027 -2.460
0.000 0.000 7.381
Cd Ag F
1 7 12
direct
0.000 0.000 0.000
0.500 0.000 0.500
0.500 0.500 0.000
0.000 0.500 0.500
0.000 0.000 0.500
0.500 0.000 0.000
0.500 0.500 0.500
0.000 0.500 0.000
0.276 0.165 0.440
0.276 0.835 0.111
0.724 0.835 0.560
0.724 0.165 0.889
0.440 0.276 0.165
0.889 0.724 0.165
0.560 0.724 0.835
0.111 0.276 0.835
0.835 0.111 0.276
0.165 0.889 0.724
0.165 0.440 0.276
0.835 0.560 0.724
```